meta-GGA SCAN CaPb2W, single point on PBEsol structure; E_form = 0.64 eV/atom; magnetic moment = 0.00 μB/f.u.; V = 23.14 A^3/atom
1.0
-1.7149 -2.4606 -0.9213
2.1989 0.2430 -4.7422
4.6446 -2.2906 2.8150
Pb Ca W
2 1 1
Direct
0.0057 0.0228 0.0113 Pb
0.2329 0.7214 0.4657 Pb
0.7620 0.2399 0.5240 Ca
0.4995 0.5159 0.9989 W